No. 1
VASP calculation (PBE-GGA) on a relaxed TbTcTe crystal.

Properties
- crystal system = triclinic
- raw formation energy (meV/atom) = -454.3

The structure in POSCAR format:
```
TbTcTe
1.0
4.7286 3.0130 -2.4466
4.1516 7.3879 -2.5744
-7.7680 -7.9227 10.4868
Te Tb Tc
2 2 2
direct
0.3826 0.4881 0.4581
0.9967 0.1627 0.9751
0.4543 0.7635 0.4099
0.9250 0.8873 0.0233
0.8761 0.1876 0.6499
0.5032 0.4632 0.7833
```

No. 2
VASP calculation (PBE-GGA) on a relaxed Tb2TcTe crystal.

Properties
- crystal system = trigonal
- raw formation energy (meV/atom) = 298.5

The structure in POSCAR format:
```
Tb2TcTe
1.0
3.7798 0.0000 0.0000
1.8899 3.2734 0.0000
1.8899 1.0911 9.2797
Te Tb Tc
1 2 1
direct
0.5000 0.5000 0.5000
0.0895 0.0895 0.7314
0.9105 0.9105 0.2686
0.0000 0.0000 0.0000
```

No. 3
VASP calculation (PBE-GGA) on a relaxed TbTh6Tc3 crystal.

Properties
- crystal system = orthorhombic
- energy of formation from the pure elements (eV/atom) = -0.0212

The structure in POSCAR format:
```
TbTh6Tc3
1.0
-6.6190 1.7437 -1.4507
1.4193 -1.6761 -8.4909
-2.5283 -8.2374 1.6344
Tb Th Tc
2 12 6
direct
0.1019 0.3004 0.6996
0.6019 0.6996 0.3004
0.0943 0.7185 0.7190
0.5943 0.7190 0.7185
0.3152 0.5265 0.0076
0.8152 0.0076 0.5265
0.3253 0.9386 0.0614
0.5792 0.3175 0.6825
0.0792 0.6825 0.3175
0.8253 0.0614 0.9386
0.3152 0.9924 0.4735
0.8152 0.4735 0.9924
0.0943 0.2810 0.2815
0.5943 0.2815 0.2810
0.4100 0.0067 0.7572
0.9100 0.7572 0.0067
0.3403 0.5025 0.4975
0.8403 0.4975 0.5025
0.9100 0.9933 0.2428
0.4100 0.2428 0.9933
```

No. 4
VASP calculation (PBE-GGA) on a relaxed TbThTc2 crystal.

Properties
- crystal system = cubic
- distance to the lowest polymorph of the same formula (eV/f.u.) = 0.00
- energy of formation from the pure elements (eV/atom) = 0.0071

The structure in POSCAR format:
```
TbThTc2
1.0
-2.0418 0.3429 4.4690
-0.9319 -4.0773 2.6012
2.6675 -1.0253 4.0115
Tb Tc Th
1 2 1
direct
0.0000 0.0000 0.0000
0.2500 0.2500 0.2500
0.7500 0.7500 0.7500
0.5000 0.5000 0.5000
```

No. 5
VASP calculation (PBE-GGA) on a relaxed Tb2ThTc crystal.

Properties
- crystal system = trigonal
- distance to the lowest polymorph of the same formula (eV/f.u.) = 3.13
- energy of formation from the pure elements (eV/atom) = 0.6332

The structure in POSCAR format:
```
Tb2ThTc
1.0
-3.1178 1.1636 -0.2995
-1.9608 0.2372 2.6951
2.0027 10.8259 2.5756
Tb Tc Th
2 1 1
direct
0.0778 0.0778 0.7666
0.9222 0.9222 0.2334
0.0000 0.0000 0.0000
0.5000 0.5000 0.5000
```

No. 6
VASP calculation (PBE-GGA) on a relaxed TbThTc2 crystal.

Properties
- crystal system = tetragonal
- distance to the lowest polymorph of the same formula (eV/f.u.) = 0.05
- energy of formation from the pure elements (eV/atom) = 0.0192

The structure in POSCAR format:
```
TbThTc2
1.0
-1.2480 -3.0908 1.0571
3.1915 -1.3949 -0.3106
1.3916 1.7068 6.6331
Tb Tc Th
1 2 1
direct
0.5000 0.5000 0.5000
0.0000 0.0000 0.7679
0.0000 0.0000 0.2321
0.5000 0.5000 0.0000
```

No. 7
VASP calculation (PBE-GGA) on a relaxed Tb2ThTc crystal.

Properties
- crystal system = orthorhombic
- distance to the lowest polymorph of the same formula (eV/f.u.) = 0.17
- energy of formation from the pure elements (eV/atom) = -0.1072

The structure in POSCAR format:
```
Tb2ThTc
1.0
-3.3776 1.3645 -1.4766
-1.0200 -1.6851 6.0124
2.2922 8.7474 2.8405
Tb Th Tc
4 2 2
direct
0.1444 0.2887 0.4278
0.8556 0.7113 0.5722
0.8556 0.7113 0.9278
0.1444 0.2887 0.0722
0.4223 0.8454 0.2500
0.5777 0.1546 0.7500
0.7710 0.5415 0.2500
0.2290 0.4585 0.7500
```

No. 8
VASP calculation (PBE-GGA) on a relaxed TbTh2Tc2 crystal.

Properties
- crystal system = monoclinic
- energy of formation from the pure elements (eV/atom) = 0.0125

The structure in POSCAR format:
```
TbTh2Tc2
1.0
-3.3410 -2.4859 -0.5324
3.2290 -3.6428 -3.2543
1.6967 -4.3552 9.6875
Tb Th Tc
2 4 4
direct
0.7457 0.3933 0.2115
0.2457 0.6067 0.7885
0.7457 0.2582 0.5329
0.2457 0.9045 0.1282
0.2457 0.7418 0.4671
0.7457 0.0955 0.8718
0.2457 0.3527 0.9936
0.7457 0.7850 0.6338
0.2457 0.2150 0.3662
0.7457 0.6473 0.0064
```

No. 9
VASP calculation (PBE-GGA) on a relaxed Tb4ThTc2 crystal.

Properties
- crystal system = monoclinic
- energy of formation from the pure elements (eV/atom) = -0.0230

The structure in POSCAR format:
```
Tb4ThTc2
1.0
6.3916 0.0000 0.0000
0.0000 7.3498 -2.9597
0.0000 0.0032 7.8641
Tb Th Tc
8 2 4
direct
0.5021 0.4156 0.7612
0.2500 0.2448 0.3237
0.7500 0.7552 0.6763
0.9979 0.4156 0.7612
0.7500 0.0263 0.3957
0.0021 0.5844 0.2388
0.4979 0.5844 0.2388
0.2500 0.9737 0.6043
0.2500 0.8399 0.9608
0.7500 0.1601 0.0392
0.2500 0.2299 0.9678
0.7500 0.7701 0.0322
0.7500 0.3791 0.4174
0.2500 0.6209 0.5826
```

No. 10
VASP calculation (PBE-GGA) on a relaxed Tb3Th3Tc2 crystal.

Properties
- crystal system = orthorhombic
- energy of formation from the pure elements (eV/atom) = 0.0569

The structure in POSCAR format:
```
Tb3Th3Tc2
1.0
3.6192 0.0000 0.0000
-1.8096 6.8632 0.0000
0.0000 0.0000 18.8357
Tb Th Tc
6 6 4
direct
0.9321 0.8641 0.4156
0.0679 0.1359 0.9156
0.9321 0.8641 0.0844
0.0679 0.1359 0.5844
0.6876 0.3752 0.2500
0.3124 0.6248 0.7500
0.6748 0.3497 0.4400
0.3252 0.6503 0.9400
0.6748 0.3497 0.0600
0.3251 0.6503 0.5600
0.4286 0.8572 0.2500
0.5714 0.1428 0.7500
0.7100 0.4200 0.8516
0.2900 0.5800 0.3516
0.7100 0.4200 0.6484
0.2900 0.5800 0.1484
```

No. 11
VASP calculation (PBE-GGA) on a relaxed Tb2ThTc crystal.

Properties
- crystal system = tetragonal
- distance to the lowest polymorph of the same formula (eV/f.u.) = 1.01
- energy of formation from the pure elements (eV/atom) = 0.1028

The structure in POSCAR format:
```
Tb2ThTc
1.0
-1.5780 0.8978 2.9774
-3.0246 0.3332 -1.7035
-1.8074 -8.3824 1.5698
Tb Tc Th
2 1 1
direct
0.0000 0.0000 0.8100
0.0000 0.0000 0.1900
0.5000 0.5000 0.0000
0.5000 0.5000 0.5000
```

No. 12
VASP calculation (PBE-GGA) on a relaxed TbTh2Tc9 crystal.

Properties
- crystal system = triclinic
- energy of formation from the pure elements (eV/atom) = -0.0204

The structure in POSCAR format:
```
TbTh2Tc9
1.0
5.3026 0.1051 1.3679
2.5094 4.6667 1.3699
-0.2099 -0.1247 9.1203
Tb Th Tc
1 2 9
direct
0.0000 0.0000 0.0000
0.8556 0.8556 0.4259
0.1444 0.1444 0.5741
0.6444 0.6457 0.0110
0.3556 0.3543 0.9890
0.5000 0.5000 0.5000
0.4209 0.4210 0.2552
0.9398 0.3967 0.2358
0.3963 0.9400 0.2360
0.5791 0.5790 0.7448
0.6037 0.0600 0.7640
0.0602 0.6033 0.7642
```